A plane-wave DFT calculation with GGA+U was carried out for NaMn2CdF8 after structural relaxation.

Lattice parameters (Å, degrees): 6.728 6.728 6.728 132.68 132.68 69.16
Positions (direct):
Na 0.000 0.000 0.000
Mn 0.250 0.750 0.500
Mn 0.500 0.500 0.000
Cd 0.750 0.250 0.500
F 0.089 0.608 0.024
F 0.189 0.215 0.556
F 0.368 0.811 0.026
F 0.392 0.417 0.481
F 0.583 0.064 0.976
F 0.658 0.632 0.444
F 0.785 0.342 0.974
F 0.936 0.911 0.519

Properties
DFT total energy in eV/atom: -5.106